Below is a relaxed structure of KRb2Os, with properties calculated at the PBE level.

Values from the calculation:
offset from the most stable computed form = 0.0 meV per atom
DOS at the Fermi energy = 4.59 states/eV/cell
V = 39.4 A^3/atom
energy relative to the elements = 1383 meV per atom

Cell: 6.0610 6.0610 6.0610 Å, 60.00 60.00 60.00°
Site moments in Bohr magnetons follow the coordinates.
Element x y z (fractional)
Os1 0.5000 0.5000 0.5000  1.79
Rb1 0.2500 0.2500 0.2500  -0.02
Rb2 0.7500 0.7500 0.7500  -0.02
K1 0.0000 0.0000 0.0000  -0.03